{
  "formula": "POsC2",
  "functional": "PBE",
  "state": "optimized geometry",
  "cell": [[-0.1188, -2.1288, 4.0527], [2.9447, -3.1395, -1.5628], [4.5829, -0.3139, 2.5566]],
  "species": ["P", "P", "C", "C", "C", "C", "Os", "Os"],
  "fractional_positions": [[0.5000, 0.5000, 0.0000], [0.2500, 0.7500, 0.5000], [0.5785, 0.1250, 0.2500], [0.1715, 0.6250, 0.2500], [0.3750, 0.4215, 0.7500], [0.8750, 0.8285, 0.7500], [0.0000, 0.0000, 0.0000], [0.7500, 0.2500, 0.5000]],
  "final_energy_ev_per_atom": -8.130,
  "magnetic_moment_mub_per_cell": 0.000,
  "e_form_ev_per_atom": 0.641
}


{
  "formula": "RbPaHg2Cl6",
  "functional": "PBE",
  "state": "optimized geometry",
  "cell": [[-0.5210, -7.6046, -3.5459], [6.0268, -2.6136, -5.2461], [5.2700, -6.1092, 2.3620]],
  "species": ["Rb", "Pa", "Hg", "Hg", "Cl", "Cl", "Cl", "Cl", "Cl", "Cl"],
  "fractional_positions": [[0.5000, 0.5000, 0.5000], [0.0000, 0.0000, 0.0000], [0.7500, 0.7500, 0.7500], [0.2500, 0.2500, 0.2500], [0.2153, 0.7847, 0.7847], [0.2153, 0.7847, 0.2153], [0.2153, 0.2153, 0.7847], [0.7847, 0.7847, 0.2153], [0.7847, 0.2153, 0.2153], [0.7847, 0.2153, 0.7847]],
  "final_energy_ev_per_atom": -3.733,
  "magnetic_moment_mub_per_cell": 0.000,
  "raw_formation_energy_mev_per_atom": -1518
}


{
  "formula": "Rb2LaCd",
  "functional": "PBE",
  "state": "optimized geometry",
  "cell": [[-10.4037, -3.1031, 3.4545], [4.5660, -5.2933, 8.9963], [-3.1645, -1.4094, 7.9909]],
  "species": ["Cd", "Cd", "Rb", "Rb", "Rb", "Rb", "La", "La"],
  "fractional_positions": [[0.5000, 0.5000, 0.0000], [0.2500, 0.7500, 0.5000], [0.5470, 0.1250, 0.2500], [0.2030, 0.6250, 0.2500], [0.3750, 0.4530, 0.7500], [0.8750, 0.7970, 0.7500], [0.0000, 0.0000, 0.0000], [0.7500, 0.2500, 0.5000]],
  "final_energy_ev_per_atom": -1.480,
  "magnetic_moment_mub_per_cell": 1.719,
  "e_form_ev_per_atom": 0.465
}


{
  "formula": "CuPd14Pt",
  "functional": "PBE",
  "state": "optimized geometry",
  "cell": [[-0.7753, 5.0739, -2.1051], [-3.6043, -2.0408, 3.6907], [4.9593, 3.5909, 6.8288]],
  "species": ["Cu", "Pd", "Pd", "Pd", "Pd", "Pd", "Pd", "Pd", "Pd", "Pd", "Pd", "Pd", "Pd", "Pd", "Pd", "Pt"],
  "fractional_positions": [[0.0428, 0.9572, 0.5000], [0.2069, 0.7931, 0.0000], [0.7069, 0.2931, 0.0000], [0.0441, 0.4561, 0.5000], [0.2066, 0.2918, 0.0000], [0.5439, 0.9559, 0.5000], [0.7082, 0.7934, 0.0000], [0.3726, 0.1244, 0.7458], [0.3726, 0.1244, 0.2542], [0.8756, 0.6274, 0.7458], [0.8756, 0.6274, 0.2542], [0.3751, 0.6249, 0.7502], [0.3751, 0.6249, 0.2498], [0.8758, 0.1242, 0.7479], [0.8758, 0.1242, 0.2521], [0.5425, 0.4575, 0.5000]],
  "final_energy_ev_per_atom": -5.180,
  "magnetic_moment_mub_per_cell": 0.025,
  "e_form_ev_per_atom": -0.003
}